1.
Below is a relaxed structure of TaReTe4, with properties calculated at the PBE level.

Computed properties:
DFT total energy = -4.375 eV/atom
energy relative to the lowest polymorph listed for this composition = 1.9915 eV/atom
calculated volume = 624.5 Å³/cell
formation energy from raw total energies = 1.77 eV per atom

The structure in CIF format:
```
data_TaReTe4
_chemical_formula_sum 'Ta4 Re4 Te16'
_cell_length_a 8.5475
_cell_length_b 8.5475
_cell_length_c 8.5475
_cell_angle_alpha 90.00
_cell_angle_beta 90.00
_cell_angle_gamma 90.00
_space_group_name_H-M_alt 'F -4 3 m'
_space_group_IT_number 216
_space_group_name_Hall 'F -4 2 3'
loop_
_atom_site_label
_atom_site_type_symbol
_atom_site_fract_x
_atom_site_fract_y
_atom_site_fract_z
Ta1 Ta 0.0000 0.0000 0.0000
Re1 Re 0.2500 0.2500 0.2500
Te1 Te 0.1247 0.1247 0.6247
```

2.
Below is a relaxed structure of Ta2ReTe, with properties calculated at the PBE level.

Computed properties:
DFT total energy = -9.525 eV/atom
calculated volume = 74.9 Å³/cell
formation energy from raw total energies = 0.30 eV per atom

The structure in CIF format:
```
data_Ta2ReTe
_chemical_formula_sum 'Ta2 Re1 Te1'
_cell_length_a 3.2523
_cell_length_b 4.1225
_cell_length_c 5.5843
_cell_angle_alpha 90.00
_cell_angle_beta 90.00
_cell_angle_gamma 90.00
_space_group_name_H-M_alt 'P m m 2'
_space_group_IT_number 25
loop_
_space_group_symop_operation_xyz
'x,y,z'
'-x,-y,z'
'-x,y,z'
'x,-y,z'
loop_
_atom_site_label
_atom_site_type_symbol
_atom_site_fract_x
_atom_site_fract_y
_atom_site_fract_z
Ta1 Ta 0.0000 0.0000 0.0000
Ta2 Ta 0.5000 0.5000 0.2530
Re1 Re 0.5000 0.5000 0.8006
Te1 Te 0.0000 0.0000 0.5083
```

3.
Below is a relaxed structure of TaRe2Te, with properties calculated at the PBE level.

Computed properties:
DFT total energy = -9.663 eV/atom
calculated volume = 70.0 Å³/cell
formation energy from raw total energies = 0.31 eV per atom

The structure in CIF format:
```
data_TaRe2Te
_chemical_formula_sum 'Ta1 Re2 Te1'
_cell_length_a 3.1184
_cell_length_b 3.1184
_cell_length_c 7.1968
_cell_angle_alpha 90.00
_cell_angle_beta 90.00
_cell_angle_gamma 90.00
_space_group_name_H-M_alt 'P 4 m m'
_space_group_IT_number 99
loop_
_space_group_symop_operation_xyz
'x,y,z'
'-y,x,z'
'-x,-y,z'
'y,-x,z'
'-x,y,z'
'y,x,z'
'x,-y,z'
'-y,-x,z'
loop_
_atom_site_label
_atom_site_type_symbol
_atom_site_fract_x
_atom_site_fract_y
_atom_site_fract_z
Ta1 Ta 0.0000 0.0000 0.0000
Re1 Re 0.0000 0.0000 0.5437
Re2 Re 0.5000 0.5000 0.7548
Te1 Te 0.5000 0.5000 0.2711
```

4.
Below is a relaxed structure of TaReTe2, with properties calculated at the PBE level.

Computed properties:
DFT total energy = -7.063 eV/atom
energy relative to the lowest polymorph listed for this composition = 0.5705 eV/atom
calculated volume = 157.0 Å³/cell
formation energy from raw total energies = 0.58 eV per atom

The structure in CIF format:
```
data_TaReTe2
_chemical_formula_sum 'Ta2 Re2 Te4'
_cell_length_a 8.7567
_cell_length_b 3.2674
_cell_length_c 5.6268
_cell_angle_alpha 90.00
_cell_angle_beta 102.84
_cell_angle_gamma 90.00
_space_group_name_H-M_alt 'C 1 2/m 1'
_space_group_IT_number 12
loop_
_space_group_symop_operation_xyz
'x,y,z'
'-x,-y,-z'
'-x,y,-z'
'x,-y,z'
'x+1/2,y+1/2,z'
'-x+1/2,-y+1/2,-z'
'-x+1/2,y+1/2,-z'
'x+1/2,-y+1/2,z'
loop_
_atom_site_label
_atom_site_type_symbol
_atom_site_fract_x
_atom_site_fract_y
_atom_site_fract_z
Ta1 Ta 0.0000 0.0000 0.0000
Re1 Re 0.0000 0.5000 0.5000
Te1 Te 0.2475 0.0000 0.7466
```

5.
Below is a relaxed structure of TaRe3Te, with properties calculated at the PBE level.

Computed properties:
DFT total energy = -8.187 eV/atom
energy relative to the lowest polymorph listed for this composition = 0.0000 eV/atom
calculated volume = 111.9 Å³/cell
formation energy from raw total energies = 2.28 eV per atom

The structure in CIF format:
```
data_TaRe3Te
_chemical_formula_sum 'Ta1 Re3 Te1'
_cell_length_a 4.8192
_cell_length_b 4.8192
_cell_length_c 4.8192
_cell_angle_alpha 90.00
_cell_angle_beta 90.00
_cell_angle_gamma 90.00
_space_group_name_H-M_alt 'P m -3 m'
_space_group_IT_number 221
_space_group_name_Hall '-P 4 2 3'
loop_
_atom_site_label
_atom_site_type_symbol
_atom_site_fract_x
_atom_site_fract_y
_atom_site_fract_z
Ta1 Ta 0.0000 0.0000 0.0000
Re1 Re 0.0000 0.0000 0.5000
Te1 Te 0.5000 0.5000 0.5000
```

6.
Below is a relaxed structure of TaRe2Te, with properties calculated at the PBE level.

Computed properties:
DFT total energy = -9.567 eV/atom
calculated volume = 77.3 Å³/cell
formation energy from raw total energies = 0.41 eV per atom

The structure in CIF format:
```
data_TaRe2Te
_chemical_formula_sum 'Ta1 Re2 Te1'
_cell_length_a 3.0066
_cell_length_b 3.8317
_cell_length_c 6.8760
_cell_angle_alpha 90.00
_cell_angle_beta 102.57
_cell_angle_gamma 90.00
_space_group_name_H-M_alt 'P 1 m 1'
_space_group_IT_number 6
loop_
_space_group_symop_operation_xyz
'x,y,z'
'x,-y,z'
loop_
_atom_site_label
_atom_site_type_symbol
_atom_site_fract_x
_atom_site_fract_y
_atom_site_fract_z
Ta1 Ta 0.0000 0.0000 0.0000
Re1 Re 0.4182 0.5000 0.7756
Re2 Re 0.8028 0.0000 0.6214
Te1 Te 0.6290 0.5000 0.2733
```

7.
Below is a relaxed structure of TaRe2Te, with properties calculated at the PBE level.

Computed properties:
DFT total energy = -9.480 eV/atom
calculated volume = 136.6 Å³/cell
formation energy from raw total energies = 0.49 eV per atom

The structure in CIF format:
```
data_TaRe2Te
_chemical_formula_sum 'Ta2 Re4 Te2'
_cell_length_a 3.1913
_cell_length_b 4.5526
_cell_length_c 9.3991
_cell_angle_alpha 90.00
_cell_angle_beta 90.00
_cell_angle_gamma 90.00
_space_group_name_H-M_alt 'I m m m'
_space_group_IT_number 71
_space_group_name_Hall '-I 2 2'
loop_
_atom_site_label
_atom_site_type_symbol
_atom_site_fract_x
_atom_site_fract_y
_atom_site_fract_z
Ta1 Ta 0.0000 0.0000 0.0000
Re1 Re 0.0000 0.5000 0.2378
Te1 Te 0.0000 0.0000 0.5000
```

8.
Below is a relaxed structure of TaRe2Te, with properties calculated at the PBE level.

Computed properties:
DFT total energy = -9.438 eV/atom
calculated volume = 68.7 Å³/cell
formation energy from raw total energies = 0.53 eV per atom

The structure in CIF format:
```
data_TaRe2Te
_chemical_formula_sum 'Ta1 Re2 Te1'
_cell_length_a 3.1467
_cell_length_b 4.6255
_cell_length_c 4.7205
_cell_angle_alpha 90.00
_cell_angle_beta 90.00
_cell_angle_gamma 90.00
_space_group_name_H-M_alt 'P m m m'
_space_group_IT_number 47
loop_
_space_group_symop_operation_xyz
'x,y,z'
'-x,-y,-z'
'-x,-y,z'
'x,y,-z'
'x,-y,-z'
'-x,y,z'
'-x,y,-z'
'x,-y,z'
loop_
_atom_site_label
_atom_site_type_symbol
_atom_site_fract_x
_atom_site_fract_y
_atom_site_fract_z
Ta1 Ta 0.0000 0.0000 0.0000
Re1 Re 0.0000 0.5000 0.5000
Re2 Re 0.5000 0.5000 0.0000
Te1 Te 0.5000 0.0000 0.5000
```

9.
Below is a relaxed structure of TaRe2Te, with properties calculated at the PBE level.

Computed properties:
DFT total energy = -9.526 eV/atom
calculated volume = 214.7 Å³/cell
formation energy from raw total energies = 0.45 eV per atom

The structure in CIF format:
```
data_TaRe2Te
_chemical_formula_sum 'Ta3 Re6 Te3'
_cell_length_a 3.1050
_cell_length_b 3.1050
_cell_length_c 25.7199
_cell_angle_alpha 90.00
_cell_angle_beta 90.00
_cell_angle_gamma 120.00
_space_group_name_H-M_alt 'R -3 m'
_space_group_IT_number 166
_space_group_name_Hall '-R 3 2"'
loop_
_atom_site_label
_atom_site_type_symbol
_atom_site_fract_x
_atom_site_fract_y
_atom_site_fract_z
Ta1 Ta 0.0000 0.0000 0.0000
Re1 Re 0.0000 0.0000 0.2541
Te1 Te 0.0000 0.0000 0.5000
```

10.
Below is a relaxed structure of TaRe2Te, with properties calculated at the PBE level.

Computed properties:
DFT total energy = -9.321 eV/atom
calculated volume = 146.3 Å³/cell
formation energy from raw total energies = 0.65 eV per atom

The structure in CIF format:
```
data_TaRe2Te
_chemical_formula_sum 'Ta2 Re4 Te2'
_cell_length_a 3.2509
_cell_length_b 4.7467
_cell_length_c 9.4833
_cell_angle_alpha 90.00
_cell_angle_beta 90.00
_cell_angle_gamma 90.00
_space_group_name_H-M_alt 'C m m 2'
_space_group_IT_number 35
loop_
_space_group_symop_operation_xyz
'x,y,z'
'-x,-y,z'
'-x,y,z'
'x,-y,z'
'x+1/2,y+1/2,z'
'-x+1/2,-y+1/2,z'
'-x+1/2,y+1/2,z'
'x+1/2,-y+1/2,z'
loop_
_atom_site_label
_atom_site_type_symbol
_atom_site_fract_x
_atom_site_fract_y
_atom_site_fract_z
Ta1 Ta 0.0000 0.0000 0.0000
Re1 Re 0.0000 0.0000 0.4428
Re2 Re 0.0000 0.5000 0.2308
Te1 Te 0.0000 0.5000 0.7321
```

11.
Below is a relaxed structure of TaReTe2, with properties calculated at the PBE level.

Computed properties:
DFT total energy = -6.657 eV/atom
energy relative to the lowest polymorph listed for this composition = 0.9763 eV/atom
calculated volume = 163.4 Å³/cell
formation energy from raw total energies = 0.99 eV per atom

The structure in CIF format:
```
data_TaReTe2
_chemical_formula_sum 'Ta2 Re2 Te4'
_cell_length_a 3.3515
_cell_length_b 5.4440
_cell_length_c 8.9577
_cell_angle_alpha 90.00
_cell_angle_beta 90.00
_cell_angle_gamma 90.00
_space_group_name_H-M_alt 'C m m m'
_space_group_IT_number 65
_space_group_name_Hall '-C 2 2'
loop_
_atom_site_label
_atom_site_type_symbol
_atom_site_fract_x
_atom_site_fract_y
_atom_site_fract_z
Ta1 Ta 0.0000 0.0000 0.0000
Re1 Re 0.0000 0.0000 0.5000
Te1 Te 0.0000 0.5000 0.2581
```

12.
Below is a relaxed structure of TaRe2Te, with properties calculated at the PBE level.

Computed properties:
DFT total energy = -9.506 eV/atom
calculated volume = 212.2 Å³/cell
formation energy from raw total energies = 0.47 eV per atom

The structure in CIF format:
```
data_TaRe2Te
_chemical_formula_sum 'Ta3 Re6 Te3'
_cell_length_a 2.9697
_cell_length_b 2.9697
_cell_length_c 27.7884
_cell_angle_alpha 90.00
_cell_angle_beta 90.00
_cell_angle_gamma 120.00
_space_group_name_H-M_alt 'R 3 m'
_space_group_IT_number 160
_space_group_name_Hall 'R 3 -2"'
loop_
_atom_site_label
_atom_site_type_symbol
_atom_site_fract_x
_atom_site_fract_y
_atom_site_fract_z
Ta1 Ta 0.0000 0.0000 0.0000
Re1 Re 0.0000 0.0000 0.4915
Re2 Re 0.0000 0.0000 0.7512
Te1 Te 0.0000 0.0000 0.2452
```